Density functional theory data (PBEsol) for a relaxed structure of AlFeSbPd2.

Output
ΔE_f (raw)	1.126	eV/atom
final energy	-23.90	eV/cell
V	23.6	Å³ per atom
crystal system	tetragonal

Unit cell a=4.8522 b=4.8522 c=5.0016 alpha=90.00 beta=90.00 gamma=90.00
With the nearest neighbours (Å) after each atom.
Element x y z (fractional)
Al1 0.0000 0.0000 0.0000  2 Sb 2.50
Fe1 0.5000 0.5000 0.0000  4 Al 3.43, 8 Pd 3.48
Sb1 0.0000 0.0000 0.5000  4 Pd 2.43, 2 Al 2.50
Pd1 0.0000 0.5000 0.5000  2 Sb 2.43
Pd2 0.5000 0.0000 0.5000  2 Sb 2.43